Here is crystalline LaBeZn2 at its relaxed geometry from the Alexandria database. Energies are from PBE-GGA. Values from VASP.

```
&SYSTEM
  ibrav = 0, nat = 8, ntyp = 3
/
ATOMIC_SPECIES
Zn 65.41 Zn.upf
Be 9.01 Be.upf
La 138.91 La.upf
ATOMIC_POSITIONS crystal
Zn 0.376 0.125 0.250
Zn 0.875 0.626 0.750
Zn 0.375 0.624 0.750
Zn 0.374 0.625 0.250
Be 0.250 0.750 0.500
Be 0.500 0.500 0.000
La 0.000 0.000 0.000
La 0.750 0.250 0.500
CELL_PARAMETERS angstrom
-4.201 0.173 2.166
-1.966 -2.310 -3.629
-1.544 -7.929 2.802
```

Output
Magnetization in μB per cell: 0.00
Formation enthalpy at 0 K in meV per atom: 16.1
ρ in g/cm3: 5.26
VASP energy in eV per atom: -2.784